A.
Compound: InHg2I
Source: Alexandria via LeMat-Bulk
Functional: GGA-PBE
Structure: optimized geometry

Summary:
Magnetic moment, μB/f.u.: 0.0
Calculated density, g/cm3: 8.58

Cell and atoms, written as POSCAR:
```
InHg2I
1.0
-1.7613 -3.0902 1.8139
1.5996 -2.4867 -2.6831
6.2698 -0.8934 4.5660
I In Hg
1 1 2
direct
0.5000 0.5000 0.5000
0.5000 0.5000 0.0000
0.0000 0.0000 0.7636
0.0000 0.0000 0.2364
```

---

B.
Compound: InHg2I
Source: Alexandria via LeMat-Bulk
Functional: GGA-PBE
Structure: optimized geometry

Summary:
Magnetic moment, μB/f.u.: 0.0
Calculated density, g/cm3: 7.74

Cell and atoms, written as POSCAR:
```
InHg2I
1.0
4.8817 0.0000 -0.0201
0.0000 4.8920 0.0000
-2.3838 0.0000 11.5629
Hg I In
4 2 2
direct
0.5560 0.2500 0.1117
0.4440 0.7500 0.8883
0.0556 0.7500 0.1113
0.9444 0.2500 0.8887
0.3080 0.2500 0.6163
0.6920 0.7500 0.3837
0.1673 0.2500 0.3336
0.8327 0.7500 0.6664
```

---

C.
Compound: InHg2I
Source: Alexandria via LeMat-Bulk
Functional: GGA-PBE
Structure: optimized geometry

Summary:
Magnetic moment, μB/f.u.: 0.0
Calculated density, g/cm3: 7.56

Cell and atoms, written as POSCAR:
```
InHg2I
1.0
-2.2952 4.1486 -0.5420
-1.6326 -1.4572 -4.2407
-10.0101 -4.8182 5.5093
Hg In I
4 2 2
direct
0.7500 0.2500 0.5000
0.2500 0.7500 0.5000
0.2500 0.2500 0.9600
0.7500 0.7500 0.0400
0.2500 0.2500 0.7085
0.7500 0.7500 0.2915
0.7500 0.7500 0.7592
0.2500 0.2500 0.2408
```

---

D.
Compound: InHg2I
Source: Alexandria via LeMat-Bulk
Functional: GGA-PBE
Structure: optimized geometry

Summary:
Magnetic moment, μB/f.u.: 0.0
Calculated density, g/cm3: 7.59

Cell and atoms, written as POSCAR:
```
InHg2I
1.0
-3.6610 -3.6890 3.1706
-0.7750 -2.6255 -3.9497
3.7606 -2.7788 1.1093
Hg I In
2 1 1
direct
0.0000 0.0000 0.5000
0.0000 0.5000 0.0000
0.5000 0.5000 0.5000
0.5000 0.0000 0.0000
```

---

Which of them is the most stable? Correct choice: B.

---

A.
Compound: InHgI2
Source: Alexandria via LeMat-Bulk
Functional: GGA-PBE
Structure: optimized geometry

Summary:
Magnetic moment, μB/f.u.: 0.0
Calculated density, g/cm3: 5.15

Cell and atoms, written as POSCAR:
```
InHgI2
1.0
7.2570 -0.0140 0.0077
-1.6183 7.7342 -0.0160
-3.2946 -2.8054 6.5498
Hg I In
2 4 2
direct
0.4084 0.5818 0.3621
0.8936 0.5388 0.2121
0.2122 0.5527 0.8136
0.9182 0.9765 0.9643
0.3066 0.0457 0.6485
0.6445 0.1188 0.3262
0.2787 0.9373 0.9460
0.6563 0.4830 0.7440
```

---

B.
Compound: InHgI2
Source: Alexandria via LeMat-Bulk
Functional: GGA-PBE
Structure: optimized geometry

Summary:
Magnetic moment, μB/f.u.: 0.0
Calculated density, g/cm3: 5.08

Cell and atoms, written as POSCAR:
```
InHgI2
1.0
7.3504 0.0003 0.0002
-2.3422 7.2300 -0.0006
-3.2259 -2.5803 7.0078
In I Hg
2 4 2
direct
0.9071 0.5780 0.0505
0.4950 0.0508 0.5540
0.9900 0.1484 0.6299
0.7111 0.1892 0.0315
0.3375 0.6528 0.1286
0.6743 0.5586 0.6749
0.9268 0.8540 0.3285
0.1929 0.6664 0.6188
```

---

Which of them is the most stable? Correct choice: A.